Li2NiSbF after structural relaxation. Source: the Alexandria database, functional PBE with a Hubbard U.

## Properties
- final energy (eV per atom) = -2.71
- size of the total moment (μB/atom) = 0.400
- calculated volume (Å³ per cell) = 135.0

Cell lengths 5.315, 5.315, 4.779 Å; angles 90.00, 90.00, 90.00 degrees
Space group P4/mmm (No. 123)
Unique sites:
Li  0.000  0.500  0.000 (multiplicity 2)
Ni  0.000  0.000  0.500 (multiplicity 1)
Sb  0.000  0.000  0.000 (multiplicity 1)
F  0.500  0.500  0.500 (multiplicity 1)